#P
This record from Alexandria via LeMat-Bulk describes a relaxed structure of MnCuOs2. The functional is PBE.

Cell and atoms, written as CIF:
```
data_MnCuOs2
_chemical_formula_sum 'Mn3 Cu3 Os6'
_space_group_name_H-M_alt 'R -3 m'
_space_group_IT_number 166
_space_group_name_Hall '-R 3 2"'
_cell_length_a 2.6656
_cell_length_b 2.6656
_cell_length_c 25.7809
_cell_angle_alpha 90.00
_cell_angle_beta 90.00
_cell_angle_gamma 120.00
loop_
_atom_site_label
_atom_site_type_symbol
_atom_site_fract_x
_atom_site_fract_y
_atom_site_fract_z
Mn1 Mn 0.0000 0.0000 0.0000
Cu1 Cu 0.0000 0.0000 0.5000
Os1 Os 0.0000 0.0000 0.2535
```

Calculated values
The calculation puts the total moment at 1.0 μB/f.u. For the volume, the calculation gives 158.6 Å³/cell.



#Q
This record from Alexandria via LeMat-Bulk describes a relaxed structure of MnCuOs2. The functional is PBE.

Cell and atoms, written as CIF:
```
data_MnCuOs2
_chemical_formula_sum 'Mn1 Cu1 Os2'
_space_group_name_H-M_alt 'P 4 m m'
_space_group_IT_number 99
_space_group_name_Hall 'P 4 -2'
_cell_length_a 2.7478
_cell_length_b 2.7478
_cell_length_c 7.2460
_cell_angle_alpha 90.00
_cell_angle_beta 90.00
_cell_angle_gamma 90.00
loop_
_atom_site_label
_atom_site_type_symbol
_atom_site_fract_x
_atom_site_fract_y
_atom_site_fract_z
Mn1 Mn 0.0000 0.0000 0.0000
Cu1 Cu 0.5000 0.5000 0.7624
Os1 Os 0.0000 0.0000 0.5069
Os2 Os 0.5000 0.5000 0.2603
```

Calculated values
The calculation puts the total moment at 3.2 μB/f.u. For the volume, the calculation gives 54.7 Å³/cell.



Stability order, top to bottom: #P, #Q



#P
This record from Alexandria via LeMat-Bulk describes a relaxed structure of MnCuOs2. The functional is PBE.

Cell and atoms, written as CIF:
```
data_MnCuOs2
_chemical_formula_sum 'Mn2 Cu2 Os4'
_space_group_name_H-M_alt 'C 1 2/m 1'
_space_group_IT_number 12
_space_group_name_Hall '-C 2y'
_cell_length_a 8.6884
_cell_length_b 2.6766
_cell_length_c 4.6879
_cell_angle_alpha 90.00
_cell_angle_beta 100.65
_cell_angle_gamma 90.00
loop_
_atom_site_label
_atom_site_type_symbol
_atom_site_fract_x
_atom_site_fract_y
_atom_site_fract_z
Mn1 Mn 0.0000 0.0000 0.0000
Cu1 Cu 0.0000 0.5000 0.5000
Os1 Os 0.2425 0.5000 0.2465
```

Calculated values
The calculation puts the total moment at 1.9 μB/f.u. For the volume, the calculation gives 107.1 Å³/cell.



#Q
This record from Alexandria via LeMat-Bulk describes a relaxed structure of MnCuOs2. The functional is PBE.

Cell and atoms, written as CIF:
```
data_MnCuOs2
_chemical_formula_sum 'Mn1 Cu1 Os2'
_space_group_name_H-M_alt 'P m m 2'
_space_group_IT_number 25
_space_group_name_Hall 'P 2 -2'
_cell_length_a 2.7328
_cell_length_b 3.7768
_cell_length_c 5.2565
_cell_angle_alpha 90.00
_cell_angle_beta 90.00
_cell_angle_gamma 90.00
loop_
_atom_site_label
_atom_site_type_symbol
_atom_site_fract_x
_atom_site_fract_y
_atom_site_fract_z
Mn1 Mn 0.0000 0.0000 0.0000
Cu1 Cu 0.5000 0.5000 0.7684
Os1 Os 0.0000 0.0000 0.5008
Os2 Os 0.5000 0.5000 0.2711
```

Calculated values
The calculation puts the total moment at 3.0 μB/f.u. For the volume, the calculation gives 54.3 Å³/cell.



Stability order, top to bottom: #Q, #P



#P
This record from Alexandria via LeMat-Bulk describes a relaxed structure of MnCuOs2. The functional is PBE.

Cell and atoms, written as CIF:
```
data_MnCuOs2
_chemical_formula_sum 'Mn2 Cu2 Os4'
_space_group_name_H-M_alt 'C 1 m 1'
_space_group_IT_number 8
_space_group_name_Hall 'C -2y'
_cell_length_a 8.8882
_cell_length_b 2.7230
_cell_length_c 4.5390
_cell_angle_alpha 90.00
_cell_angle_beta 100.31
_cell_angle_gamma 90.00
loop_
_atom_site_label
_atom_site_type_symbol
_atom_site_fract_x
_atom_site_fract_y
_atom_site_fract_z
Mn1 Mn 0.0000 0.0000 0.0000
Cu1 Cu 0.2493 0.0000 0.7826
Os1 Os 0.2502 0.5000 0.2856
Os2 Os 0.4968 0.0000 0.5014
```

Calculated values
The calculation puts the total moment at 2.9 μB/f.u. For the volume, the calculation gives 108.1 Å³/cell.



#Q
This record from Alexandria via LeMat-Bulk describes a relaxed structure of MnCuOs2. The functional is PBE.

Cell and atoms, written as CIF:
```
data_MnCuOs2
_chemical_formula_sum 'Mn2 Cu2 Os4'
_space_group_name_H-M_alt 'I m m m'
_space_group_IT_number 71
_space_group_name_Hall '-I 2 2'
_cell_length_a 2.7507
_cell_length_b 4.3643
_cell_length_c 9.3472
_cell_angle_alpha 90.00
_cell_angle_beta 90.00
_cell_angle_gamma 90.00
loop_
_atom_site_label
_atom_site_type_symbol
_atom_site_fract_x
_atom_site_fract_y
_atom_site_fract_z
Mn1 Mn 0.0000 0.0000 0.0000
Cu1 Cu 0.0000 0.0000 0.5000
Os1 Os 0.0000 0.5000 0.2795
```

Calculated values
The calculation puts the total moment at 2.5 μB/f.u. For the volume, the calculation gives 112.2 Å³/cell.



Stability order, top to bottom: #P, #Q



#P
This record from Alexandria via LeMat-Bulk describes a relaxed structure of MnCuOs2. The functional is PBE.

Cell and atoms, written as CIF:
```
data_MnCuOs2
_chemical_formula_sum 'Mn4 Cu4 Os8'
_space_group_name_H-M_alt 'F m -3 m'
_space_group_IT_number 225
_space_group_name_Hall '-F 4 2 3'
_cell_length_a 5.9467
_cell_length_b 5.9467
_cell_length_c 5.9467
_cell_angle_alpha 90.00
_cell_angle_beta 90.00
_cell_angle_gamma 90.00
loop_
_atom_site_label
_atom_site_type_symbol
_atom_site_fract_x
_atom_site_fract_y
_atom_site_fract_z
Mn1 Mn 0.0000 0.0000 0.0000
Cu1 Cu 0.0000 0.0000 0.5000
Os1 Os 0.2500 0.2500 0.2500
```

Calculated values
The calculation puts the total moment at 2.1 μB/f.u. For the volume, the calculation gives 210.3 Å³/cell.



#Q
This record from Alexandria via LeMat-Bulk describes a relaxed structure of MnCuOs2. The functional is PBE.

Cell and atoms, written as CIF:
```
data_MnCuOs2
_chemical_formula_sum 'Mn1 Cu1 Os2'
_space_group_name_H-M_alt 'P 4/m m m'
_space_group_IT_number 123
_space_group_name_Hall '-P 4 2'
_cell_length_a 2.6604
_cell_length_b 2.6604
_cell_length_c 7.3580
_cell_angle_alpha 90.00
_cell_angle_beta 90.00
_cell_angle_gamma 90.00
loop_
_atom_site_label
_atom_site_type_symbol
_atom_site_fract_x
_atom_site_fract_y
_atom_site_fract_z
Mn1 Mn 0.0000 0.0000 0.0000
Cu1 Cu 0.0000 0.0000 0.5000
Os1 Os 0.5000 0.5000 0.2399
```

Calculated values
The calculation puts the total moment at 0.4 μB/f.u. For the volume, the calculation gives 52.1 Å³/cell.



#R
This record from Alexandria via LeMat-Bulk describes a relaxed structure of MnCuOs2. The functional is PBE.

Cell and atoms, written as CIF:
```
data_MnCuOs2
_chemical_formula_sum 'Mn2 Cu2 Os4'
_space_group_name_H-M_alt 'I 4/m m m'
_space_group_IT_number 139
_space_group_name_Hall '-I 4 2'
_cell_length_a 3.7657
_cell_length_b 3.7657
_cell_length_c 7.4648
_cell_angle_alpha 90.00
_cell_angle_beta 90.00
_cell_angle_gamma 90.00
loop_
_atom_site_label
_atom_site_type_symbol
_atom_site_fract_x
_atom_site_fract_y
_atom_site_fract_z
Mn1 Mn 0.0000 0.0000 0.0000
Cu1 Cu 0.0000 0.0000 0.5000
Os1 Os 0.0000 0.5000 0.2500
```

Calculated values
The calculation puts the total moment at 1.6 μB/f.u. For the volume, the calculation gives 105.9 Å³/cell.



Stability order, top to bottom: #Q, #R, #P



#P
This record from Alexandria via LeMat-Bulk describes a relaxed structure of MnCu2Os. The functional is PBE.

Cell and atoms, written as CIF:
```
data_MnCu2Os
_chemical_formula_sum 'Mn2 Cu4 Os2'
_space_group_name_H-M_alt 'I 4/m m m'
_space_group_IT_number 139
_space_group_name_Hall '-I 4 2'
_cell_length_a 3.6428
_cell_length_b 3.6428
_cell_length_c 7.7337
_cell_angle_alpha 90.00
_cell_angle_beta 90.00
_cell_angle_gamma 90.00
loop_
_atom_site_label
_atom_site_type_symbol
_atom_site_fract_x
_atom_site_fract_y
_atom_site_fract_z
Mn1 Mn 0.0000 0.0000 0.0000
Cu1 Cu 0.0000 0.5000 0.2500
Os1 Os 0.0000 0.0000 0.5000
```

Calculated values
The calculation puts the total moment at 2.8 μB/f.u. For the volume, the calculation gives 102.6 Å³/cell.



#Q
This record from Alexandria via LeMat-Bulk describes a relaxed structure of MnCu2Os. The functional is PBE.

Cell and atoms, written as CIF:
```
data_MnCu2Os
_chemical_formula_sum 'Mn1 Cu2 Os1'
_space_group_name_H-M_alt 'P m m m'
_space_group_IT_number 47
_space_group_name_Hall '-P 2 2'
_cell_length_a 2.7564
_cell_length_b 4.2963
_cell_length_c 4.3981
_cell_angle_alpha 90.00
_cell_angle_beta 90.00
_cell_angle_gamma 90.00
loop_
_atom_site_label
_atom_site_type_symbol
_atom_site_fract_x
_atom_site_fract_y
_atom_site_fract_z
Mn1 Mn 0.0000 0.0000 0.0000
Cu1 Cu 0.0000 0.5000 0.5000
Cu2 Cu 0.5000 0.0000 0.5000
Os1 Os 0.5000 0.5000 0.0000
```

Calculated values
The calculation puts the total moment at 3.1 μB/f.u. For the volume, the calculation gives 52.1 Å³/cell.



Stability order, top to bottom: #Q, #P



#P
This record from Alexandria via LeMat-Bulk describes a relaxed structure of MnCu3P. The functional is PBE.

Cell and atoms, written as CIF:
```
data_MnCu3P
_chemical_formula_sum 'Mn1 Cu3 P1'
_space_group_name_H-M_alt 'P m -3 m'
_space_group_IT_number 221
_space_group_name_Hall '-P 4 2 3'
_cell_length_a 4.3854
_cell_length_b 4.3854
_cell_length_c 4.3854
_cell_angle_alpha 90.00
_cell_angle_beta 90.00
_cell_angle_gamma 90.00
loop_
_atom_site_label
_atom_site_type_symbol
_atom_site_fract_x
_atom_site_fract_y
_atom_site_fract_z
Mn1 Mn 0.0000 0.0000 0.0000
Cu1 Cu 0.0000 0.0000 0.5000
P1 P 0.5000 0.5000 0.5000
```

Calculated values
The calculation puts the total moment at 0.0 μB/f.u. For the volume, the calculation gives 84.3 Å³/cell.



#Q
This record from Alexandria via LeMat-Bulk describes a relaxed structure of MnCu3P. The functional is PBE.

Cell and atoms, written as CIF:
```
data_MnCu3P
_chemical_formula_sum 'Mn1 Cu3 P1'
_space_group_name_H-M_alt 'P m -3 m'
_space_group_IT_number 221
_space_group_name_Hall '-P 4 2 3'
_cell_length_a 4.3012
_cell_length_b 4.3012
_cell_length_c 4.3012
_cell_angle_alpha 90.00
_cell_angle_beta 90.00
_cell_angle_gamma 90.00
loop_
_atom_site_label
_atom_site_type_symbol
_atom_site_fract_x
_atom_site_fract_y
_atom_site_fract_z
Mn1 Mn 0.0000 0.0000 0.0000
Cu1 Cu 0.0000 0.5000 0.5000
P1 P 0.5000 0.5000 0.5000
```

Calculated values
The calculation puts the total moment at 4.2 μB/f.u. For the volume, the calculation gives 79.6 Å³/cell.



Stability order, top to bottom: #Q, #P